# 1
# YGa3Co3 (GGA-PBE, relaxed)
# relative energy among the computed polymorphs = 0 meV/atom
# calculated density = 7.1 Mg/m³
# magnetization = 1.58 μB/f.u.
# density of states at the Fermi level = 6.92 states/eV/f.u.
# ΔE_f = -0.1806 eV per atom
# symmetry = P6_3/m (176)
data_YGa3Co3
_chemical_formula_sum 'Y2 Ga6 Co6'
_symmetry_space_group_name_H-M 'P 1'
_symmetry_Int_Tables_number 1
_cell_length_a 4.1679
_cell_length_b 7.8724
_cell_length_c 7.8724
_cell_angle_alpha 120.00
_cell_angle_beta 90.00
_cell_angle_gamma 90.00
loop_
_symmetry_equiv_pos_as_xyz
'x,y,z'
loop_
_atom_site_label
_atom_site_fract_x
_atom_site_fract_y
_atom_site_fract_z
Y1 0.2500 0.6667 0.3333
Y2 0.7500 0.3333 0.6667
Ga1 0.7500 0.3868 0.3102
Ga2 0.7500 0.9234 0.6132
Ga3 0.2500 0.3102 0.9234
Ga4 0.7500 0.6898 0.0766
Ga5 0.2500 0.0766 0.3868
Ga6 0.2500 0.6132 0.6898
Co1 0.7500 0.1629 0.9591
Co2 0.7500 0.7963 0.8371
Co3 0.2500 0.9591 0.7963
Co4 0.7500 0.0409 0.2037
Co5 0.2500 0.2037 0.1629
Co6 0.2500 0.8371 0.0409


# 2
# YGaCo4 (GGA-PBE, relaxed)
# relative energy among the computed polymorphs = 139 meV/atom
# calculated density = 7.6 Mg/m³
# magnetization = 4.69 μB/f.u.
# density of states at the Fermi level = 7.79 states/eV/f.u.
# ΔE_f = -0.0300 eV per atom
# symmetry = Cmcm (63)
data_YGaCo4
_chemical_formula_sum 'Y2 Ga2 Co8'
_symmetry_space_group_name_H-M 'P 1'
_symmetry_Int_Tables_number 1
_cell_length_a 4.0922
_cell_length_b 5.6905
_cell_length_c 7.6812
_cell_angle_alpha 90.00
_cell_angle_beta 105.45
_cell_angle_gamma 90.00
loop_
_symmetry_equiv_pos_as_xyz
'x,y,z'
loop_
_atom_site_label
_atom_site_fract_x
_atom_site_fract_y
_atom_site_fract_z
Y1 0.1237 0.2500 0.2474
Y2 0.8763 0.7500 0.7526
Ga1 0.2245 0.7500 0.4489
Ga2 0.7755 0.2500 0.5511
Co1 0.5000 0.5000 0.0000
Co2 0.5000 0.0000 0.0000
Co3 0.6566 0.9461 0.3132
Co4 0.3434 0.0539 0.6868
Co5 0.3434 0.4461 0.6868
Co6 0.6566 0.5539 0.3132
Co7 0.0615 0.7500 0.1230
Co8 0.9385 0.2500 0.8770


# 3
# Y4Ga3Co (GGA-PBE, relaxed)
# calculated density = 5.6 Mg/m³
# magnetization = 0.00 μB/f.u.
# density of states at the Fermi level = 7.33 states/eV/f.u.
# ΔE_f = -0.5164 eV per atom
# symmetry = Pmm2 (25)
data_Y4Ga3Co
_chemical_formula_sum 'Y4 Ga3 Co1'
_symmetry_space_group_name_H-M 'P 1'
_symmetry_Int_Tables_number 1
_cell_length_a 3.9549
_cell_length_b 4.2659
_cell_length_c 10.8660
_cell_angle_alpha 90.00
_cell_angle_beta 90.00
_cell_angle_gamma 90.00
loop_
_symmetry_equiv_pos_as_xyz
'x,y,z'
loop_
_atom_site_label
_atom_site_fract_x
_atom_site_fract_y
_atom_site_fract_z
Y1 0.5000 0.5000 0.3403
Y2 0.0000 0.5000 0.8721
Y3 0.0000 0.0000 0.1391
Y4 0.5000 0.0000 0.6507
Ga1 0.0000 0.5000 0.5752
Ga2 0.0000 0.0000 0.4255
Ga3 0.5000 0.0000 0.9344
Co1 0.5000 0.5000 0.0628


# 4
# YGa4Co2 (GGA-PBE, relaxed)
# calculated density = 7.3 Mg/m³
# magnetization = 0.00 μB/f.u.
# density of states at the Fermi level = 5.83 states/eV/f.u.
# ΔE_f = -0.3966 eV per atom
# symmetry = Pnma (62)
data_YGa4Co2
_chemical_formula_sum 'Y4 Ga16 Co8'
_symmetry_space_group_name_H-M 'P 1'
_symmetry_Int_Tables_number 1
_cell_length_a 4.1480
_cell_length_b 6.3486
_cell_length_c 16.8652
_cell_angle_alpha 90.00
_cell_angle_beta 90.00
_cell_angle_gamma 90.00
loop_
_symmetry_equiv_pos_as_xyz
'x,y,z'
loop_
_atom_site_label
_atom_site_fract_x
_atom_site_fract_y
_atom_site_fract_z
Y1 0.7500 0.9882 0.6393
Y2 0.2500 0.0118 0.3607
Y3 0.2500 0.4882 0.8607
Y4 0.7500 0.5118 0.1393
Co1 0.2500 0.7541 0.5382
Co2 0.7500 0.2459 0.4618
Co3 0.7500 0.2541 0.9618
Co4 0.2500 0.7459 0.0382
Co5 0.2500 0.9795 0.7843
Co6 0.7500 0.0205 0.2157
Co7 0.7500 0.4795 0.7157
Co8 0.2500 0.5205 0.2843
Ga1 0.2500 0.2799 0.6949
Ga2 0.7500 0.7201 0.3051
Ga3 0.7500 0.7799 0.8051
Ga4 0.2500 0.2201 0.1949
Ga5 0.2500 0.6847 0.6862
Ga6 0.7500 0.3153 0.3138
Ga7 0.7500 0.1847 0.8138
Ga8 0.2500 0.8153 0.1862
Ga9 0.2500 0.1582 0.5318
Ga10 0.7500 0.8418 0.4682
Ga11 0.7500 0.6582 0.9682
Ga12 0.2500 0.3418 0.0318
Ga13 0.2500 0.5037 0.4279
Ga14 0.7500 0.4963 0.5721
Ga15 0.7500 0.0037 0.0721
Ga16 0.2500 0.9963 0.9279


# 5
# YGa2Co (GGA-PBE, relaxed)
# calculated density = 7.1 Mg/m³
# magnetization = 0.00 μB/f.u.
# density of states at the Fermi level = 2.04 states/eV/f.u.
# ΔE_f = -0.2680 eV per atom
# symmetry = Fm-3m (225)
data_YGa2Co
_chemical_formula_sum 'Y1 Ga2 Co1'
_symmetry_space_group_name_H-M 'P 1'
_symmetry_Int_Tables_number 1
_cell_length_a 4.5732
_cell_length_b 4.5732
_cell_length_c 4.5732
_cell_angle_alpha 60.00
_cell_angle_beta 60.00
_cell_angle_gamma 60.00
loop_
_symmetry_equiv_pos_as_xyz
'x,y,z'
loop_
_atom_site_label
_atom_site_fract_x
_atom_site_fract_y
_atom_site_fract_z
Y1 0.5000 0.5000 0.5000
Co1 0.0000 0.0000 0.0000
Ga1 0.2500 0.2500 0.2500
Ga2 0.7500 0.7500 0.7500


# 6
# YGa6Co (GGA-PBE, relaxed)
# calculated density = 6.7 Mg/m³
# magnetization = 0.00 μB/f.u.
# density of states at the Fermi level = 3.88 states/eV/f.u.
# ΔE_f = -0.2476 eV per atom
# symmetry = Amm2 (38)
data_YGa6Co
_chemical_formula_sum 'Y1 Ga6 Co1'
_symmetry_space_group_name_H-M 'P 1'
_symmetry_Int_Tables_number 1
_cell_length_a 3.9513
_cell_length_b 6.0271
_cell_length_c 6.0271
_cell_angle_alpha 101.65
_cell_angle_beta 90.00
_cell_angle_gamma 90.00
loop_
_symmetry_equiv_pos_as_xyz
'x,y,z'
loop_
_atom_site_label
_atom_site_fract_x
_atom_site_fract_y
_atom_site_fract_z
Y1 0.5000 0.1102 0.8898
Ga1 0.5000 0.1367 0.3967
Ga2 0.5000 0.6033 0.8633
Ga3 0.0000 0.4212 0.2133
Ga4 0.0000 0.7867 0.5788
Ga5 0.0000 0.3493 0.6507
Ga6 0.0000 0.8737 0.1263
Co1 0.5000 0.7189 0.2811